## one
Below is a geometry-optimized In2TeAu2 structure, with properties calculated at the PBE-GGA level.

Computed properties:
space group: I4/mmm
V: 123.7 Å³/f.u.

Lattice parameters (Å, degrees): 8.431 8.431 8.431 152.95 152.95 38.62
Sites, in units of the cell vectors:
In 0.107 0.107 0.000
In 0.893 0.893 0.000
Te 0.500 0.500 0.000
Au 0.250 0.750 0.500
Au 0.750 0.250 0.500

=====

## two
Below is a geometry-optimized In2TeAu2 structure, with properties calculated at the PBE-GGA level.

Computed properties:
space group: P4/mbm
V: 120.4 Å³/f.u.

Lattice parameters (Å, degrees): 7.704 7.704 4.058 90.00 90.00 90.00
Sites, in units of the cell vectors:
In 0.169 0.331 0.000
In 0.331 0.831 0.000
In 0.669 0.169 0.000
In 0.831 0.669 0.000
Te 0.000 0.000 0.500
Te 0.500 0.500 0.500
Au 0.131 0.631 0.500
Au 0.369 0.131 0.500
Au 0.631 0.869 0.500
Au 0.869 0.369 0.500

=====

Among the structures shown above, two is the most stable, with the second-best lying 1.7 kJ/mol of atoms higher.